## Mg7Cd3In2 (PBE)

Data for an optimized crystal structure of Mg7Cd3In2.

Unit cell a=11.7924 b=11.7924 c=4.9903 alpha=90.00 beta=90.00 gamma=154.81
Last column: nearest neighbours and their distance in Å.
Element x y z (fractional)
Mg  0.0000  0.0000  0.0000  8 Mg 3.04-3.10
Mg  0.0755  0.9245  0.5000  2 Mg 3.04, 2 In 3.05, 4 Cd 3.07-3.10
Mg  0.2826  0.7174  0.0000  2 Cd 2.96, 3 Mg 2.98-3.28, 3 In 2.99-3.02
Mg  0.4252  0.5748  0.0000  4 Cd 3.01-3.03, 3 Mg 3.10-3.28, 2 In 3.12
Mg  0.5748  0.4252  0.0000  4 Cd 3.01-3.03, 3 Mg 3.10-3.28, 2 In 3.12
Mg  0.7174  0.2826  0.0000  2 Cd 2.96, 3 Mg 2.98-3.28, 3 In 2.99-3.02
Mg  0.9245  0.0755  0.5000  2 Mg 3.04, 2 In 3.05, 4 Cd 3.07-3.10
Cd  0.3517  0.6483  0.5000  6 Mg 2.96-3.07
Cd  0.5000  0.5000  0.5000  8 Mg 3.03-3.10
Cd  0.6483  0.3517  0.5000  6 Mg 2.96-3.07
In  0.1515  0.8485  0.0000  7 Mg 2.99-3.12
In  0.8485  0.1515  0.0000  7 Mg 2.99-3.12

## Properties
**Energy relative to the elements**: 0.01 eV/atom
**D(E_F)**: 4.6 states/eV per cell
**Calculated total energy**: -1.60 eV per atom